1.
Compound: Pb
Source: Alexandria via LeMat-Bulk
Functional: PBE
Structure: optimized geometry

Results
As for the density of states at the Fermi level: 0.26 states/eV/atom. For the excess energy over the best structure of this formula in the dataset, the calculation gives 0.261 eV/atom. Its formation energy from the elements is 261 meV/atom.

```
Pb
1.0
0.000 3.511 3.511
3.511 0.000 3.511
3.511 3.511 0.000
Pb
2
Cartesian
0.878 0.878 0.878 Pb
6.145 6.145 6.145 Pb
```

---

2.
Compound: Pb
Source: Alexandria via LeMat-Bulk
Functional: PBE
Structure: optimized geometry

Results
As for the density of states at the Fermi level: 0.73 states/eV/atom. For the excess energy over the best structure of this formula in the dataset, the calculation gives 0.083 eV/atom. Its formation energy from the elements is 83 meV/atom.

```
Pb
1.0
9.307 0.000 0.000
-4.653 8.060 0.000
0.000 0.000 5.519
Pb
12
Cartesian
-3.276 6.473 1.380 Pb
-1.909 4.970 4.139 Pb
0.686 1.986 1.380 Pb
2.063 0.399 4.139 Pb
1.304 3.922 4.139 Pb
4.048 0.832 1.380 Pb
0.605 7.228 4.139 Pb
3.350 4.138 1.380 Pb
2.590 7.660 1.380 Pb
3.968 6.073 4.139 Pb
6.562 3.090 1.380 Pb
7.929 1.587 4.139 Pb
```

---

3.
Compound: Pb
Source: Alexandria via LeMat-Bulk
Functional: PBE
Structure: optimized geometry

Results
As for the density of states at the Fermi level: 0.70 states/eV/atom. For the excess energy over the best structure of this formula in the dataset, the calculation gives 0.105 eV/atom. Its formation energy from the elements is 105 meV/atom.

```
Pb
1.0
-3.808 3.808 3.430
3.808 -3.808 3.430
3.808 3.808 -3.430
Pb
6
Cartesian
4.966 1.158 0.000 Pb
0.000 0.000 1.715 Pb
1.158 2.649 0.000 Pb
2.649 1.158 3.430 Pb
0.000 0.000 5.146 Pb
-1.158 2.649 3.430 Pb
```

---

4.
Compound: Pb
Source: Alexandria via LeMat-Bulk
Functional: PBE
Structure: optimized geometry

Results
As for the density of states at the Fermi level: 0.61 states/eV/atom. For the excess energy over the best structure of this formula in the dataset, the calculation gives 0.011 eV/atom. Its formation energy from the elements is 11 meV/atom.

```
Pb
1.0
3.490 0.000 0.000
-1.745 3.022 0.000
0.000 0.000 6.007
Pb
2
Cartesian
0.000 2.015 1.502 Pb
1.745 1.007 4.505 Pb
```

---

5.
Compound: Pb
Source: Alexandria via LeMat-Bulk
Functional: PBE
Structure: optimized geometry

Results
As for the density of states at the Fermi level: 0.73 states/eV/atom. For the excess energy over the best structure of this formula in the dataset, the calculation gives 0.075 eV/atom. Its formation energy from the elements is 75 meV/atom.

```
Pb
1.0
1.758 1.015 6.129
-1.758 1.015 6.129
0.000 -2.030 6.129
Pb
2
Cartesian
0.000 0.000 1.673 Pb
0.000 0.000 16.715 Pb
```

---

6.
Compound: Pb
Source: Alexandria via LeMat-Bulk
Functional: PBE
Structure: optimized geometry

Results
As for the density of states at the Fermi level: 0.62 states/eV/atom. For the excess energy over the best structure of this formula in the dataset, the calculation gives 0.105 eV/atom. Its formation energy from the elements is 105 meV/atom.

```
Pb
1.0
0.000 2.614 5.763
2.262 0.000 5.763
2.262 2.614 0.000
Pb
2
Cartesian
2.262 2.614 1.655 Pb
2.262 2.614 9.870 Pb
```

---

7.
Compound: PdPb2
Source: Alexandria via LeMat-Bulk
Functional: PBE
Structure: optimized geometry

Results
As for the density of states at the Fermi level: 0.50 states/eV/atom. Its formation energy from the elements is -202 meV/atom.

```
PdPb2
1.0
-3.502 3.502 2.952
3.502 -3.502 2.952
3.502 3.502 -2.952
Pd Pb
2 4
Cartesian
0.000 0.000 1.476 Pd
0.000 0.000 4.429 Pd
4.639 1.136 0.000 Pb
1.136 2.366 0.000 Pb
2.366 1.136 2.952 Pb
-1.136 2.366 2.952 Pb
```

---

8.
Compound: PdPb
Source: Alexandria via LeMat-Bulk
Functional: PBE
Structure: optimized geometry

Results
As for the density of states at the Fermi level: 0.43 states/eV/atom. Its formation energy from the elements is -156 meV/atom.

```
PdPb
1.0
6.301 0.000 0.000
0.000 7.128 0.000
0.000 0.000 7.891
Pd Pb
8 8
Cartesian
1.160 1.544 3.425 Pd
1.200 3.090 0.699 Pd
1.951 4.038 4.645 Pd
1.991 5.584 7.371 Pd
4.310 2.020 4.466 Pd
4.350 0.474 7.192 Pd
5.101 6.654 3.246 Pd
5.141 5.108 0.520 Pd
0.352 2.027 6.097 Pb
0.444 0.251 1.047 Pb
2.706 6.876 4.992 Pb
2.798 5.101 2.151 Pb
3.503 1.537 1.794 Pb
3.595 3.313 6.844 Pb
5.857 3.815 2.899 Pb
5.949 5.591 5.740 Pb
```

---

Result set for calculated volume: 43.29, 34.49, 33.15, 31.68, 32.82, 34.08, 24.15, 22.15 Å³ per atom, one per record in the order listed.